# 1
Material: Dy2Y3Er4
Method: DFT, GGA-PBE
State: optimized geometry

The structure in POSCAR format:
```
Dy2Y3Er4
1.0
5.760 1.647 1.179
2.308 10.930 0.743
2.308 4.226 10.107
Er Y Dy
8 6 4
Direct
0.578 0.095 0.812
0.422 0.905 0.188
0.579 0.427 0.145
0.421 0.573 0.855
0.078 0.812 0.095
0.079 0.145 0.427
0.922 0.188 0.905
0.921 0.855 0.573
0.250 0.598 0.402
0.246 0.932 0.736
0.754 0.068 0.264
0.254 0.264 0.068
0.750 0.402 0.598
0.746 0.736 0.932
0.422 0.237 0.521
0.578 0.763 0.479
0.078 0.479 0.763
0.922 0.521 0.237
```

Properties
SG ... C2/c, No. 15
Energy relative to the elements ... 103.1 meV/atom
Crystal system ... monoclinic

# 2
Material: BeHgSe3
Method: DFT, GGA-PBE
State: optimized geometry

The structure in POSCAR format:
```
BeHgSe3
1.0
-1.000 0.623 5.094
4.772 -1.799 1.157
1.890 4.870 -0.225
Se Be Hg
3 1 1
Direct
0.000 0.000 0.500
0.500 0.000 0.000
0.000 0.500 0.000
0.500 0.500 0.500
0.000 0.000 0.000
```

Properties
Raw formation energy ... 1.185 eV per atom
SG ... Pm-3m, No. 221
Crystal system ... cubic
Distance to the lowest polymorph of the same formula ... 0.8598 eV/atom

# 3
Material: La2TcHO6
Method: DFT, GGA-PBE
State: optimized geometry

The structure in POSCAR format:
```
La2TcHO6
1.0
-2.495 -1.798 -5.113
-3.983 -3.237 2.653
0.735 5.478 2.029
O H La Tc
6 1 2 1
Direct
0.212 0.328 0.083
0.120 0.222 0.432
0.792 0.675 0.930
0.323 0.861 0.043
0.807 0.691 0.461
0.635 0.065 0.741
0.604 0.682 0.270
0.767 0.282 0.531
0.239 0.700 0.504
0.001 0.996 0.003
```

Properties
SG ... P1, No. 1
Crystal system ... triclinic

# 4
Material: HgCN2
Method: DFT, GGA-PBE
State: optimized geometry

The structure in POSCAR format:
```
HgCN2
1.0
-0.520 6.972 -1.317
-5.374 -0.141 1.374
-1.088 1.276 7.184
N C Hg
8 4 4
Direct
0.135 0.332 0.343
0.367 0.816 0.718
0.633 0.184 0.282
0.365 0.332 0.843
0.865 0.668 0.657
0.867 0.184 0.782
0.133 0.816 0.218
0.635 0.668 0.157
0.635 0.436 0.214
0.135 0.564 0.286
0.365 0.564 0.786
0.865 0.436 0.714
0.880 0.988 0.259
0.620 0.988 0.759
0.120 0.012 0.741
0.380 0.012 0.241
```

Properties
Raw formation energy ... 0.480 eV per atom
SG ... P2_1/c, No. 14
Crystal system ... monoclinic

# 5
Material: YBeSb2
Method: DFT, GGA-PBE
State: optimized geometry

The structure in POSCAR format:
```
YBeSb2
1.0
-3.340 0.509 -1.945
-2.106 -1.460 3.234
-0.945 5.494 3.060
Sb Be Y
2 1 1
Direct
0.000 0.790 0.998
0.000 0.710 0.502
0.500 0.750 0.750
0.500 0.250 0.250
```

Properties
Raw formation energy ... -0.189 eV per atom
SG ... P2/m, No. 10
Crystal system ... monoclinic

# 6
Material: VBi2RhS
Method: DFT, GGA-PBE
State: optimized geometry

The structure in POSCAR format:
```
VBi2RhS
1.0
-5.083 -1.582 0.466
1.317 -3.960 0.924
0.090 1.242 5.197
Rh Bi V S
1 2 1 1
Direct
0.500 0.500 0.500
0.000 0.000 0.500
0.500 0.000 0.000
0.000 0.500 0.000
0.000 0.000 0.000
```

Properties
Raw formation energy ... 0.626 eV per atom
SG ... P4/mmm, No. 123
Crystal system ... tetragonal

# 7
Material: SbMo2Br
Method: DFT, GGA-PBE
State: optimized geometry

The structure in POSCAR format:
```
SbMo2Br
1.0
-0.988 -8.655 -0.540
-0.617 -8.315 2.581
-3.467 -7.908 1.275
Sb Mo Br
1 2 1
Direct
0.250 0.250 0.250
0.501 0.501 0.501
0.999 0.999 0.999
0.750 0.750 0.750
```

Properties
Raw formation energy ... 0.599 eV per atom
SG ... R-3m, No. 166
Crystal system ... trigonal
Distance to the lowest polymorph of the same formula ... 0.4018 eV/atom

# 8
Material: Li2CdC2
Method: DFT, GGA-PBE
State: optimized geometry

The structure in POSCAR format:
```
Li2CdC2
1.0
-4.807 3.430 -0.584
-3.376 -4.839 -0.633
-0.489 -0.105 3.407
Cd C Li
2 4 4
Direct
0.500 0.500 0.000
0.000 0.000 0.000
0.922 0.578 0.000
0.078 0.422 0.000
0.422 0.922 0.000
0.578 0.078 0.000
0.829 0.329 0.500
0.329 0.171 0.500
0.171 0.671 0.500
0.671 0.829 0.500
```

Properties
SG ... P4/mbm, No. 127
Energy relative to the elements ... 272.9 meV/atom
Crystal system ... tetragonal

# 9
Material: La5NdErCd2
Method: DFT, GGA-PBE
State: optimized geometry

The structure in POSCAR format:
```
La5NdErCd2
1.0
-3.915 2.706 7.542
-6.904 -5.400 -1.646
8.845 -4.194 0.823
Nd La Cd Er
2 10 4 2
Direct
0.750 0.250 0.500
0.250 0.750 0.500
0.166 0.069 0.735
0.834 0.931 0.265
0.334 0.834 0.265
0.666 0.166 0.735
0.431 0.334 0.265
0.931 0.431 0.265
0.500 0.500 0.000
0.569 0.666 0.735
0.000 0.000 0.000
0.069 0.569 0.735
0.893 0.607 0.000
0.107 0.393 0.000
0.393 0.893 0.000
0.607 0.107 0.000
0.250 0.250 0.500
0.750 0.750 0.500
```

Properties
SG ... I4/mcm, No. 140
Energy relative to the elements ... 18.5 meV/atom
Crystal system ... tetragonal

# 10
Material: HgC2
Method: DFT, GGA-PBE
State: optimized geometry

The structure in POSCAR format:
```
HgC2
1.0
2.516 2.594 3.257
-4.041 -0.561 2.649
2.116 -4.100 -1.543
Hg C
2 4
Direct
0.250 0.250 0.000
0.750 0.750 0.000
0.588 0.912 0.500
0.088 0.588 0.676
0.412 0.088 0.500
0.912 0.412 0.324
```

Properties
SG ... I4/mcm, No. 140
Energy relative to the elements ... 2105.3 meV/atom
Crystal system ... tetragonal
Distance to the lowest polymorph of the same formula ... 1.5678 eV/atom

# 11
Material: Er2TeAu
Method: DFT, GGA-PBE
State: optimized geometry

The structure in POSCAR format:
```
Er2TeAu
1.0
-1.609 -2.368 -2.967
1.801 -0.171 -3.705
4.264 -6.591 0.083
Er Au Te
2 1 1
Direct
0.075 0.075 0.776
0.259 0.259 0.224
0.668 0.668 0.997
0.499 0.499 0.504
```

Properties
Raw formation energy ... -1.002 eV per atom
SG ... R3m, No. 160
Crystal system ... trigonal
Distance to the lowest polymorph of the same formula ... 0.0713 eV/atom

# 12
Material: Er4AlNi2
Method: DFT, GGA-PBE
State: optimized geometry

The structure in POSCAR format:
```
Er4AlNi2
1.0
-1.961 -4.279 0.716
1.601 -3.785 -2.405
5.397 -4.203 5.494
Ni Er Al
2 4 1
Direct
0.595 0.595 0.215
0.405 0.405 0.785
0.294 0.294 0.118
0.706 0.706 0.882
0.884 0.884 0.349
0.116 0.116 0.651
0.500 0.500 0.500
```

Properties
SG ... R-3m, No. 166
Energy relative to the elements ... -271.5 meV/atom
Crystal system ... trigonal

For reference, final energy by record: -91.84 -8.55 -76.90 -97.03 -19.19 -25.23 -25.06 -43.65 -71.26 -24.87 -19.55 -35.46 eV/cell.
For reference, calculated volume by record: 31.36 28.59 13.40 16.84 25.29 24.41 18.47 12.13 33.28 14.29 27.54 23.37 Å³ per atom.